# 1
## Sm9Y4Hg11 (GGA-PBE)

Data for a relaxed Sm9Y4Hg11 crystal.

Crystal system: orthorhombic
Energy (eV per atom): -3.37
Calculated volume (Å³ per atom): 27.333

```
data_Sm9Y4Hg11
_chemical_formula_sum 'Sm18 Y8 Hg22'
_symmetry_space_group_name_H-M 'C m m m'
_symmetry_Int_Tables_number 65
_symmetry_space_group_name_Hall '-C 2 2'
_cell_length_a 15.9141
_cell_length_b 23.0193
_cell_length_c 3.5815
_cell_angle_alpha 90.00
_cell_angle_beta 90.00
_cell_angle_gamma 90.00
loop_
_atom_site_label
_atom_site_type_symbol
_atom_site_fract_x
_atom_site_fract_y
_atom_site_fract_z
_atom_site_occupancy
Sm1 Sm 0.0000 0.0000 0.0000 1
Sm2 Sm 0.1139 0.2392 0.0000 1
Sm3 Sm 0.1179 0.4131 0.0000 1
Y1 Y 0.1578 0.0896 0.0000 1
Hg1 Hg 0.0000 0.1314 0.5000 1
Hg2 Hg 0.0000 0.3273 0.5000 1
Hg3 Hg 0.0000 0.5000 0.5000 1
Hg4 Hg 0.2357 0.3217 0.5000 1
Hg5 Hg 0.2414 0.5000 0.5000 1
```

# 2
## SmY2Hg3 (GGA-PBE)

Data for a relaxed SmY2Hg3 crystal.

Crystal system: tetragonal
Energy (eV per atom): -3.59
Calculated volume (Å³ per atom): 26.417

```
data_SmY2Hg3
_chemical_formula_sum 'Sm1 Y2 Hg3'
_symmetry_space_group_name_H-M 'P 4/m m m'
_symmetry_Int_Tables_number 123
_symmetry_space_group_name_Hall '-P 4 2'
_cell_length_a 3.7488
_cell_length_b 3.7488
_cell_length_c 11.2785
_cell_angle_alpha 90.00
_cell_angle_beta 90.00
_cell_angle_gamma 90.00
loop_
_atom_site_label
_atom_site_type_symbol
_atom_site_fract_x
_atom_site_fract_y
_atom_site_fract_z
_atom_site_occupancy
Sm1 Sm 0.0000 0.0000 0.0000 1
Y1 Y 0.0000 0.0000 0.3353 1
Hg1 Hg 0.5000 0.5000 0.1737 1
Hg2 Hg 0.5000 0.5000 0.5000 1
```

# 3
## SmY2Hg4 (GGA-PBE)

Data for a relaxed SmY2Hg4 crystal.

Crystal system: tetragonal
Energy (eV per atom): -3.10
Calculated volume (Å³ per atom): 28.799

```
data_SmY2Hg4
_chemical_formula_sum 'Sm2 Y4 Hg8'
_symmetry_space_group_name_H-M 'I 4/m m m'
_symmetry_Int_Tables_number 139
_symmetry_space_group_name_Hall '-I 4 2'
_cell_length_a 7.4110
_cell_length_b 7.4110
_cell_length_c 7.3410
_cell_angle_alpha 90.00
_cell_angle_beta 90.00
_cell_angle_gamma 90.00
loop_
_atom_site_label
_atom_site_type_symbol
_atom_site_fract_x
_atom_site_fract_y
_atom_site_fract_z
_atom_site_occupancy
Sm1 Sm 0.0000 0.0000 0.0000 1
Y1 Y 0.0000 0.5000 0.0000 1
Hg1 Hg 0.2500 0.2500 0.2500 1
```

# 4
## Sm3Y2Hg4 (GGA-PBE)

Data for a relaxed Sm3Y2Hg4 crystal.

Crystal system: orthorhombic
Energy (eV per atom): -3.45
Calculated volume (Å³ per atom): 29.012

```
data_Sm3Y2Hg4
_chemical_formula_sum 'Sm12 Y8 Hg16'
_symmetry_space_group_name_H-M 'C m c e'
_symmetry_Int_Tables_number 64
_symmetry_space_group_name_Hall '-C 2ac 2'
_cell_length_a 6.9069
_cell_length_b 18.7555
_cell_length_c 8.0624
_cell_angle_alpha 90.00
_cell_angle_beta 90.00
_cell_angle_gamma 90.00
loop_
_atom_site_label
_atom_site_type_symbol
_atom_site_fract_x
_atom_site_fract_y
_atom_site_fract_z
_atom_site_occupancy
Sm1 Sm 0.0000 0.0000 0.0000 1
Sm2 Sm 0.2500 0.2388 0.2500 1
Y1 Y 0.0000 0.0940 0.5858 1
Hg1 Hg 0.0000 0.1613 0.9620 1
Hg2 Hg 0.2500 0.0708 0.2500 1
```

# 5
## Sm2Y3Hg4 (GGA-PBE)

Data for a relaxed Sm2Y3Hg4 crystal.

Crystal system: orthorhombic
Energy (eV per atom): -3.69
Calculated volume (Å³ per atom): 28.481

```
data_Sm2Y3Hg4
_chemical_formula_sum 'Sm8 Y12 Hg16'
_symmetry_space_group_name_H-M 'C m c e'
_symmetry_Int_Tables_number 64
_symmetry_space_group_name_Hall '-C 2ac 2'
_cell_length_a 7.0267
_cell_length_b 17.9863
_cell_length_c 8.1127
_cell_angle_alpha 90.00
_cell_angle_beta 90.00
_cell_angle_gamma 90.00
loop_
_atom_site_label
_atom_site_type_symbol
_atom_site_fract_x
_atom_site_fract_y
_atom_site_fract_z
_atom_site_occupancy
Sm1 Sm 0.0000 0.0953 0.0869 1
Y1 Y 0.0000 0.0000 0.5000 1
Y2 Y 0.2500 0.2387 0.7500 1
Hg1 Hg 0.0000 0.1671 0.4694 1
Hg2 Hg 0.2500 0.0662 0.7500 1
```

# 6
## SmYHg4 (GGA-PBE)

Data for a relaxed SmYHg4 crystal.

Crystal system: orthorhombic
Energy (eV per atom): -2.24
Calculated volume (Å³ per atom): 29.593

```
data_SmYHg4
_chemical_formula_sum 'Sm1 Y1 Hg4'
_symmetry_space_group_name_H-M 'P m m m'
_symmetry_Int_Tables_number 47
_symmetry_space_group_name_Hall '-P 2 2'
_cell_length_a 4.5357
_cell_length_b 4.5507
_cell_length_c 8.6024
_cell_angle_alpha 90.00
_cell_angle_beta 90.00
_cell_angle_gamma 90.00
loop_
_atom_site_label
_atom_site_type_symbol
_atom_site_fract_x
_atom_site_fract_y
_atom_site_fract_z
_atom_site_occupancy
Sm1 Sm 0.0000 0.0000 0.0000 1
Y1 Y 0.5000 0.5000 0.5000 1
Hg1 Hg 0.0000 0.5000 0.2545 1
Hg2 Hg 0.5000 0.0000 0.2554 1
```

# 7
## Sm2YHg5 (GGA-PBE)

Data for a relaxed Sm2YHg5 crystal.

Crystal system: tetragonal
Energy (eV per atom): -2.60
Calculated volume (Å³ per atom): 25.554

```
data_Sm2YHg5
_chemical_formula_sum 'Sm4 Y2 Hg10'
_symmetry_space_group_name_H-M 'I 4/m m m'
_symmetry_Int_Tables_number 139
_symmetry_space_group_name_Hall '-I 4 2'
_cell_length_a 5.2310
_cell_length_b 5.2310
_cell_length_c 14.9417
_cell_angle_alpha 90.00
_cell_angle_beta 90.00
_cell_angle_gamma 90.00
loop_
_atom_site_label
_atom_site_type_symbol
_atom_site_fract_x
_atom_site_fract_y
_atom_site_fract_z
_atom_site_occupancy
Sm1 Sm 0.0000 0.0000 0.2348 1
Y1 Y 0.0000 0.0000 0.5000 1
Hg1 Hg 0.0000 0.0000 0.0000 1
Hg2 Hg 0.0000 0.5000 0.1207 1
```

# 8
## Sm2YHg4 (GGA-PBE)

Data for a relaxed Sm2YHg4 crystal.

Crystal system: tetragonal
Energy (eV per atom): -2.45
Calculated volume (Å³ per atom): 35.359

```
data_Sm2YHg4
_chemical_formula_sum 'Sm4 Y2 Hg8'
_symmetry_space_group_name_H-M 'I 4/m m m'
_symmetry_Int_Tables_number 139
_symmetry_space_group_name_Hall '-I 4 2'
_cell_length_a 5.6435
_cell_length_b 5.6435
_cell_length_c 15.5430
_cell_angle_alpha 90.00
_cell_angle_beta 90.00
_cell_angle_gamma 90.00
loop_
_atom_site_label
_atom_site_type_symbol
_atom_site_fract_x
_atom_site_fract_y
_atom_site_fract_z
_atom_site_occupancy
Sm1 Sm 0.0000 0.0000 0.1042 1
Y1 Y 0.0000 0.0000 0.5000 1
Hg1 Hg 0.0000 0.0000 0.3044 1
Hg2 Hg 0.0000 0.5000 0.0000 1
```

# 9
## Sm7YHg2 (GGA-PBE)

Data for a relaxed Sm7YHg2 crystal.

Crystal system: orthorhombic
Energy (eV per atom): -3.74
Calculated volume (Å³ per atom): 38.484

```
data_Sm7YHg2
_chemical_formula_sum 'Sm14 Y2 Hg4'
_symmetry_space_group_name_H-M 'C m m m'
_symmetry_Int_Tables_number 65
_symmetry_space_group_name_Hall '-C 2 2'
_cell_length_a 9.1460
_cell_length_b 15.7698
_cell_length_c 5.3365
_cell_angle_alpha 90.00
_cell_angle_beta 90.00
_cell_angle_gamma 90.00
loop_
_atom_site_label
_atom_site_type_symbol
_atom_site_fract_x
_atom_site_fract_y
_atom_site_fract_z
_atom_site_occupancy
Sm1 Sm 0.0000 0.0000 0.0000 1
Sm2 Sm 0.0000 0.2693 0.5000 1
Sm3 Sm 0.1824 0.3805 0.0000 1
Y1 Y 0.0000 0.5000 0.5000 1
Hg1 Hg 0.0000 0.1939 0.0000 1
```

# 10
## Sm5YHg4 (GGA-PBE)

Data for a relaxed Sm5YHg4 crystal.

Crystal system: tetragonal
Energy (eV per atom): -3.49
Calculated volume (Å³ per atom): 28.626

```
data_Sm5YHg4
_chemical_formula_sum 'Sm5 Y1 Hg4'
_symmetry_space_group_name_H-M 'P 4/m m m'
_symmetry_Int_Tables_number 123
_symmetry_space_group_name_Hall '-P 4 2'
_cell_length_a 3.7586
_cell_length_b 3.7586
_cell_length_c 20.2637
_cell_angle_alpha 90.00
_cell_angle_beta 90.00
_cell_angle_gamma 90.00
loop_
_atom_site_label
_atom_site_type_symbol
_atom_site_fract_x
_atom_site_fract_y
_atom_site_fract_z
_atom_site_occupancy
Sm1 Sm 0.0000 0.0000 0.0000 1
Sm2 Sm 0.0000 0.0000 0.1889 1
Sm3 Sm 0.0000 0.0000 0.3789 1
Y1 Y 0.5000 0.5000 0.5000 1
Hg1 Hg 0.5000 0.5000 0.0952 1
Hg2 Hg 0.5000 0.5000 0.2862 1
```

# 11
## SmY3Hg2 (GGA-PBE)

Data for a relaxed SmY3Hg2 crystal.

Crystal system: tetragonal
Energy (eV per atom): -4.45
Calculated volume (Å³ per atom): 28.429

```
data_SmY3Hg2
_chemical_formula_sum 'Sm1 Y3 Hg2'
_symmetry_space_group_name_H-M 'P 4/m m m'
_symmetry_Int_Tables_number 123
_symmetry_space_group_name_Hall '-P 4 2'
_cell_length_a 3.7034
_cell_length_b 3.7034
_cell_length_c 12.4370
_cell_angle_alpha 90.00
_cell_angle_beta 90.00
_cell_angle_gamma 90.00
loop_
_atom_site_label
_atom_site_type_symbol
_atom_site_fract_x
_atom_site_fract_y
_atom_site_fract_z
_atom_site_occupancy
Sm1 Sm 0.0000 0.0000 0.0000 1
Y1 Y 0.5000 0.5000 0.1997 1
Y2 Y 0.5000 0.5000 0.5000 1
Hg1 Hg 0.0000 0.0000 0.3484 1
```

# 12
## Sm3YHg (GGA-PBE)

Data for a relaxed Sm3YHg crystal.

Crystal system: monoclinic
Energy (eV per atom): -4.37
Calculated volume (Å³ per atom): 31.143

```
data_Sm3YHg
_chemical_formula_sum 'Sm12 Y4 Hg4'
_symmetry_space_group_name_H-M 'C 1 2/m 1'
_symmetry_Int_Tables_number 12
_symmetry_space_group_name_Hall '-C 2y'
_cell_length_a 29.9861
_cell_length_b 3.7293
_cell_length_c 5.5699
_cell_angle_alpha 90.00
_cell_angle_beta 90.09
_cell_angle_gamma 90.00
loop_
_atom_site_label
_atom_site_type_symbol
_atom_site_fract_x
_atom_site_fract_y
_atom_site_fract_z
_atom_site_occupancy
Sm1 Sm 0.0482 0.0000 0.2472 1
Sm2 Sm 0.1286 0.0000 0.7481 1
Sm3 Sm 0.1607 0.5000 0.2487 1
Y1 Y 0.2330 0.5000 0.7497 1
Hg1 Hg 0.0408 0.5000 0.7461 1
```